[1]
POsF2: relaxed, PBE-GGA.

- Spin magnetization: 0.0 Bohr magnetons per cell
- DOS at the Fermi energy: 2.40 states/eV/f.u.
- Calculated total energy: -5.64 eV/atom
- Excess energy over the best structure of this formula in the dataset: 0.0 kJ/mol of atoms

POSCAR file:
```
POsF2
1.0
0.871 -6.454 7.613
0.098 -8.184 5.777
2.652 -7.562 6.012
F P Os
2 1 1
direct
0.064 0.064 0.064
0.936 0.936 0.936
0.500 0.500 0.500
0.000 0.000 0.000
```

=====

[2]
TePtSe2: relaxed, PBE-GGA.

- Spin magnetization: 0.0 Bohr magnetons per cell
- DOS at the Fermi energy: 2.69 states/eV/f.u.
- Calculated total energy: -3.54 eV/atom

POSCAR file:
```
TePtSe2
1.0
-2.076 0.626 2.604
-3.866 -0.318 -3.006
-0.311 -4.812 0.909
Pt Se Te
1 2 1
direct
0.500 0.000 0.500
0.000 0.500 0.500
0.000 0.000 0.000
0.500 0.500 0.000
```

=====

[3]
Nd5Ni2Pd: relaxed, PBE-GGA.

- Spin magnetization: 0.0 Bohr magnetons per cell
- DOS at the Fermi energy: 8.97 states/eV/f.u.
- Calculated total energy: -5.40 eV/atom
- Formation energy: -0.33 eV per atom

POSCAR file:
```
Nd5Ni2Pd
1.0
-7.642 -1.072 1.036
1.382 -7.120 2.831
3.612 6.658 4.274
Ni Pd Nd
4 2 10
direct
0.377 0.877 0.000
0.123 0.377 0.000
0.877 0.623 0.000
0.623 0.123 0.000
0.250 0.250 0.500
0.750 0.750 0.500
0.304 0.804 0.278
0.974 0.474 0.278
0.196 0.026 0.722
0.526 0.696 0.722
0.474 0.304 0.278
0.804 0.974 0.278
0.696 0.196 0.722
0.000 0.000 0.000
0.500 0.500 0.000
0.026 0.526 0.722
```

=====

[4]
Th2BeGa3Pt4: relaxed, PBE-GGA.

- Spin magnetization: 0.0 Bohr magnetons per cell
- DOS at the Fermi energy: 7.29 states/eV/f.u.
- Calculated total energy: -6.08 eV/atom
- Formation energy: -0.90 eV per atom

POSCAR file:
```
Th2BeGa3Pt4
1.0
4.245 0.000 0.000
0.000 4.245 0.000
0.000 0.000 10.387
Pt Th Ga Be
4 2 3 1
direct
0.500 0.500 0.000
0.000 0.000 0.000
0.000 0.500 0.374
0.500 0.000 0.626
0.000 0.500 0.737
0.500 0.000 0.263
0.000 0.000 0.500
0.500 0.000 0.865
0.000 0.500 0.135
0.500 0.500 0.500
```

=====

[5]
TePb2N2: relaxed, PBE-GGA.

- Spin magnetization: 0.0 Bohr magnetons per cell
- DOS at the Fermi energy: 5.16 states/eV/f.u.
- Calculated total energy: -5.14 eV/atom
- Excess energy over the best structure of this formula in the dataset: 0.0 kJ/mol of atoms

POSCAR file:
```
TePb2N2
1.0
-8.294 -1.555 3.791
-0.883 -7.679 -5.082
1.421 -1.746 2.392
Te N Pb
2 4 4
direct
0.000 0.000 0.000
0.500 0.500 0.000
0.544 0.956 0.500
0.456 0.044 0.500
0.044 0.544 0.500
0.956 0.456 0.500
0.773 0.273 0.000
0.273 0.227 0.000
0.227 0.727 0.000
0.727 0.773 0.000
```

=====

[6]
PuTl3Au8: relaxed, PBE-GGA.

- Spin magnetization: 6.0 Bohr magnetons per cell
- DOS at the Fermi energy: 18.70 states/eV/f.u.
- Calculated total energy: -4.08 eV/atom
- Formation energy: -0.11 eV per atom

POSCAR file:
```
PuTl3Au8
1.0
-0.445 2.200 5.213
3.935 -1.170 3.920
6.114 7.829 0.309
Tl Au Pu
3 8 1
direct
0.000 0.000 0.999
0.498 0.498 0.505
0.374 0.374 0.878
0.188 0.188 0.436
0.437 0.437 0.191
0.437 0.934 0.191
0.939 0.440 0.683
0.440 0.939 0.683
0.688 0.688 0.936
0.934 0.437 0.191
0.939 0.939 0.683
0.875 0.875 0.374
```

=====

[7]
Ca2SbCl: relaxed, PBE-GGA.

- Spin magnetization: 0.0 Bohr magnetons per cell
- DOS at the Fermi energy: 0.00 states/eV/f.u.
- Calculated total energy: -3.85 eV/atom

POSCAR file:
```
Ca2SbCl
1.0
0.000 3.801 3.801
3.801 0.000 3.801
3.801 3.801 0.000
Cl Ca Sb
1 2 1
direct
0.000 0.000 0.000
0.750 0.750 0.750
0.250 0.250 0.250
0.500 0.500 0.500
```

=====

[8]
CuAuCl: relaxed, PBE-GGA.

- Spin magnetization: 0.0 Bohr magnetons per cell
- DOS at the Fermi energy: 1.77 states/eV/f.u.
- Calculated total energy: -2.79 eV/atom
- Excess energy over the best structure of this formula in the dataset: 30.9 kJ/mol of atoms

POSCAR file:
```
CuAuCl
1.0
4.383 0.000 0.000
2.191 3.796 0.000
2.191 1.265 3.578
Cl Cu Au
1 1 1
direct
0.500 0.500 0.500
0.750 0.750 0.750
0.000 0.000 0.000
```